The following is a GGA-PBE calculation of a geometry-optimized InGe2Pd structure, from Alexandria.

Its total magnetization is 0.00 μB/f.u. For the theoretical density, the calculation gives 7.3 g cm⁻³. The value obtained for the uncorrected energy is -4.314 eV per atom.

It has space group I-42d (No. 122), with a = 4.430 Å, b = 4.430 Å, c = 17.020 Å, α = 90.00°, β = 90.00° and γ = 90.00°. The asymmetric unit holds In at (0.000, 0.000, 0.000), Ge at (0.176, 0.250, 0.625) and Pd at (0.000, 0.000, 0.500).

=====

The following is a GGA-PBE calculation of a geometry-optimized InGe2Pd8 structure, from Alexandria.

As for the distance to the lowest polymorph of the same formula: 0.034 eV/atom. Its total magnetization is 0.00 μB/f.u. For the theoretical density, the calculation gives 10.2 g cm⁻³. The value obtained for the uncorrected energy is -5.276 eV per atom.

It has space group C2/m (No. 12), with a = 7.473 Å, b = 11.176 Å, c = 4.535 Å, α = 90.00°, β = 107.32° and γ = 90.00°. The asymmetric unit holds In at (0.000, 0.000, 0.000), Ge at (0.000, 0.320, 0.500), Pd at (0.000, 0.240, 0.000), Pd at (0.117, 0.500, 0.821) and Pd at (0.197, 0.125, 0.594).

=====

The following is a GGA-PBE calculation of a geometry-optimized In3Ge2Pd8 structure, from Alexandria.

Its total magnetization is 0.00 μB/f.u. For the theoretical density, the calculation gives 9.3 g cm⁻³. The value obtained for the uncorrected energy is -4.796 eV per atom.

It has space group R-3m (No. 166, hexagonal axes), with a = 5.4331 Å, b = 5.4331 Å, c = 27.9626 Å, α = 90.00°, β = 90.00° and γ = 120.00°. The asymmetric unit holds In at (0.0000, 0.0000, 0.0000), In at (0.0000, 0.0000, 0.1878), Ge at (0.0000, 0.0000, 0.3681), Pd at (0.0000, 0.0000, 0.2830) and Pd at (0.0053, 0.5026, 0.7683).

=====

The following is a GGA-PBE calculation of a geometry-optimized In2Ge2Pd structure, from Alexandria.

As for the distance to the lowest polymorph of the same formula: 0.000 eV/atom. Its total magnetization is 0.00 μB/f.u. For the theoretical density, the calculation gives 7.4 g cm⁻³. The value obtained for the uncorrected energy is -4.048 eV per atom.

It has space group P4/mbm (No. 127), with a = 6.572 Å, b = 6.572 Å, c = 4.976 Å, α = 90.00°, β = 90.00° and γ = 90.00°. The asymmetric unit holds In at (0.177, 0.323, 0.000), Ge at (0.140, 0.640, 0.500) and Pd at (0.000, 0.000, 0.500).

=====

The following is a GGA-PBE calculation of a geometry-optimized InGePd3 structure, from Alexandria.

As for the distance to the lowest polymorph of the same formula: 0.000 eV/atom. Its total magnetization is 0.00 μB/f.u. For the theoretical density, the calculation gives 9.4 g cm⁻³. The value obtained for the uncorrected energy is -4.984 eV per atom.

It has space group P1 (No. 1), with a = 5.519 Å, b = 5.550 Å, c = 7.177 Å, α = 71.55°, β = 71.13° and γ = 61.45°. The asymmetric unit holds In at (0.000, 0.000, 0.000), In at (0.207, 0.207, 0.426), Ge at (0.536, 0.529, 0.361), Ge at (0.731, 0.729, 0.774), Pd at (0.224, 0.713, 0.676), Pd at (0.471, 0.967, 0.082), Pd at (0.473, 0.473, 0.045), Pd at (0.707, 0.220, 0.678), Pd at (0.786, 0.780, 0.417) and Pd at (0.972, 0.469, 0.078).

=====

The following is a GGA-PBE calculation of a geometry-optimized InGe2Pd4 structure, from Alexandria.

Its total magnetization is 0.00 μB/f.u. For the theoretical density, the calculation gives 9.3 g cm⁻³. The value obtained for the uncorrected energy is -5.021 eV per atom.

It has space group Cmcm (No. 63), with a = 3.012 Å, b = 15.668 Å, c = 10.329 Å, α = 90.00°, β = 90.00° and γ = 90.00°. The asymmetric unit holds In at (0.000, 0.113, 0.250), Ge at (0.000, 0.370, 0.055), Pd at (0.000, 0.000, 0.000), Pd at (0.000, 0.257, 0.618) and Pd at (0.000, 0.464, 0.250).

=====

The following is a GGA-PBE calculation of a geometry-optimized InGePd3 structure, from Alexandria.

As for the distance to the lowest polymorph of the same formula: 1.064 eV/atom. Its total magnetization is 0.00 μB/f.u. For the theoretical density, the calculation gives 7.0 g cm⁻³. The value obtained for the uncorrected energy is -3.920 eV per atom.

It has space group Pm-3m (No. 221), with a = 4.930 Å, b = 4.930 Å, c = 4.930 Å, α = 90.00°, β = 90.00° and γ = 90.00°. The asymmetric unit holds In at (0.000, 0.000, 0.000), Ge at (0.500, 0.500, 0.500) and Pd at (0.000, 0.000, 0.500).

=====

The following is a GGA-PBE calculation of a geometry-optimized In2GePd5 structure, from Alexandria.

As for the distance to the lowest polymorph of the same formula: 0.301 eV/atom. Its total magnetization is 0.00 μB/f.u. For the theoretical density, the calculation gives 8.9 g cm⁻³. The value obtained for the uncorrected energy is -4.713 eV per atom.

It has space group Cmcm (No. 63), with a = 2.940 Å, b = 15.710 Å, c = 13.456 Å, α = 90.00°, β = 90.00° and γ = 90.00°. The asymmetric unit holds In at (0.000, 0.123, 0.088), Ge at (0.000, 0.135, 0.750), Pd at (0.000, 0.045, 0.597), Pd at (0.000, 0.223, 0.584) and Pd at (0.000, 0.228, 0.250).

=====

Computed calculated formation energy (meV/atom) in order:
-22 -411 -259 -67 -397 -343 667 -206